Crystalline Na2HoMoO4 at its relaxed geometry, computed with GGA+U.

For the density, the calculation gives 5.83 g/cm3. The volume is 106 Å³/f.u. The value obtained for the total energy is -6.518 eV per atom.

It has space group P2/m (No. 10), with a = 5.6852 Å, b = 3.3490 Å, c = 5.8658 Å, α = 90.00°, β = 109.06° and γ = 90.00°. The inequivalent atoms are Na at (0.0000, 0.0000, 0.0000), Na at (0.5000, 0.5000, 0.0000), Ho at (0.0000, 0.5000, 0.5000), Mo at (0.5000, 0.0000, 0.5000), O at (0.2421, 0.0000, 0.7133) and O at (0.2735, 0.5000, 0.2905).